# SrTc2Br

A geometry-optimized SrTc2Br structure (PBE, the Alexandria database).

**SG**: R-3m
**Total magnetization**: 2.16 Bohr magnetons per cell
**Energy relative to the elements, uncorrected**: 1.172 eV per atom
**Relative energy among the computed polymorphs**: 1.124 eV per atom

a = 9.6276 Å, b = 9.6276 Å, c = 9.6276 Å
α = 18.73°, β = 18.73°, γ = 18.73°
Closest atoms and distances in Å follow each position.
Fractional coordinates of all 4 atoms:
Br: 0.2500 0.2500 0.2500  6 Tc 2.73
Tc: 0.5111 0.5111 0.5111  3 Br 2.73
Tc: 0.9889 0.9889 0.9889  3 Br 2.73
Sr: 0.7500 0.7500 0.7500  6 Sr 3.13, 6 Tc 3.23